## GdLuAlTc (GGA-PBE)

Data for crystalline GdLuAlTc at its relaxed geometry.

Calculated values
The calculation puts the total DFT energy (no corrections) at -33.39 eV for the cell shown. The value obtained for the formation energy is -0.169 eV/atom.

Unit cell a=4.938 b=4.938 c=4.938 alpha=60.00 beta=60.00 gamma=60.00
Each line ends with the local moment (μB).
Element x y z (fractional)
1 Gd 0.500 0.500 0.500  -7.03
2 Al 0.750 0.750 0.750  0.00
3 Tc 0.250 0.250 0.250  0.10
4 Lu 0.000 0.000 0.000  0.01

=====

## AcZn2Ga (GGA-PBE)

Data for crystalline AcZn2Ga at its relaxed geometry.

Calculated values
The calculation puts the total DFT energy (no corrections) at -22.25 eV for the cell shown. The value obtained for the formation energy is -0.360 eV/atom.

Unit cell a=4.834 b=5.954 c=6.838 alpha=90.00 beta=90.00 gamma=113.95
Element x y z (fractional)
1 Zn 0.049 0.098 0.687
2 Zn 0.869 0.737 0.000
3 Zn 0.468 0.936 0.500
4 Zn 0.049 0.098 0.313
5 Ga 0.280 0.560 0.809
6 Ga 0.280 0.560 0.191
7 Ac 0.563 0.126 0.000
8 Ac 0.771 0.542 0.500

=====

## Pm4Ge2Br5 (GGA-PBE)

Data for crystalline Pm4Ge2Br5 at its relaxed geometry.

Calculated values
The calculation puts the total DFT energy (no corrections) at -51.46 eV for the cell shown. For the uncorrected formation energy, the calculation gives -1.35 eV per atom.

Unit cell a=4.168 b=8.262 c=11.848 alpha=83.57 beta=100.13 gamma=90.00
Element x y z (fractional)
1 Br 0.217 0.323 0.434
2 Br 0.138 0.800 0.276
3 Br 0.500 0.000 0.000
4 Br 0.862 0.200 0.724
5 Br 0.783 0.677 0.566
6 Pm 0.662 0.548 0.324
7 Pm 0.338 0.452 0.676
8 Pm 0.986 0.283 0.971
9 Pm 0.014 0.717 0.029
10 Ge 0.448 0.546 0.896
11 Ge 0.552 0.454 0.104

=====

> Among the records above, which one has the highest total DFT energy (no corrections)?

AcZn2Ga